[1]
# La2TaZn

A relaxed La2TaZn crystal (GGA-PBEsol, the Alexandria database).

Properties
The calculation puts the formation energy at 0.226 eV/atom.

Geometry as POSCAR:
```
La2TaZn
1.0
3.2906 0.0000 0.0000
0.0000 4.8434 0.0000
-1.6248 0.0000 6.1843
La Ta Zn
2 1 1
Direct
0.0000 0.0000 0.0000
0.3055 0.5000 0.6203
0.5945 0.5000 0.1889
0.7110 0.0000 0.4291
```


[2]
# ZrMn2Tc

A relaxed ZrMn2Tc crystal (GGA-PBEsol, the Alexandria database).

Properties
As for the polymorph energy (0 for the lowest one): 0.14 eV/f.u. The calculation puts the formation energy at 0.165 eV/atom.

Geometry as POSCAR:
```
ZrMn2Tc
1.0
2.7486 0.0000 0.0000
0.0000 3.9800 0.0000
-1.2139 0.0000 5.1773
Zr Mn Tc
1 2 1
Direct
0.0000 0.0000 0.0000
0.2523 0.5000 0.7117
0.7477 0.5000 0.2883
0.5000 0.0000 0.5000
```


[3]
# BaSiAsBr2

A relaxed BaSiAsBr2 crystal (GGA-PBEsol, the Alexandria database).

Properties
Its uncorrected formation energy is -729 meV per atom.

Geometry as POSCAR:
```
BaSiAsBr2
1.0
5.2682 0.0000 0.0000
0.0000 5.2682 0.0000
0.0000 0.0000 4.9077
Ba Si As Br
1 1 1 2
Direct
0.0000 0.0000 0.0000
0.5000 0.5000 0.5000
0.5000 0.5000 0.0000
0.0000 0.5000 0.5000
0.5000 0.0000 0.5000
```


[4]
# Cr2AgRh

A relaxed Cr2AgRh crystal (GGA-PBEsol, the Alexandria database).

Properties
The calculation puts the formation energy at 0.362 eV/atom.

Geometry as POSCAR:
```
Cr2AgRh
1.0
3.9738 0.0000 0.0000
0.0000 1.3200 5.0171
0.0000 -1.3200 5.0171
Cr Ag Rh
2 1 1
Direct
0.0000 0.0000 0.0000
0.5000 0.1146 0.1146
0.0000 0.7413 0.7413
0.5000 0.3948 0.3948
```


[5]
# Ce2Ga9Rh3

A relaxed Ce2Ga9Rh3 crystal (GGA-PBEsol, the Alexandria database).

Properties
The calculation puts the formation energy at -0.721 eV/atom.

Geometry as POSCAR:
```
Ce2Ga9Rh3
1.0
6.5140 -3.7822 0.0000
6.5140 3.7822 0.0000
0.0000 0.0000 9.3406
Ce Ga Rh
4 18 6
Direct
0.0008 0.6692 0.7500
0.3308 0.9992 0.7500
0.6692 0.0008 0.2500
0.9992 0.3308 0.2500
0.0025 0.6653 0.0787
0.0025 0.6653 0.4213
0.1288 0.8712 0.2500
0.3339 0.6661 0.5645
0.3339 0.6661 0.9355
0.3347 0.9975 0.0787
0.3347 0.9975 0.4213
0.3399 0.4543 0.2500
0.4543 0.3399 0.7500
0.5457 0.6601 0.2500
0.6601 0.5457 0.7500
0.6653 0.0025 0.5787
0.6653 0.0025 0.9213
0.6661 0.3339 0.0645
0.6661 0.3339 0.4355
0.8712 0.1288 0.7500
0.9975 0.3347 0.5787
0.9975 0.3347 0.9213
0.0000 0.0000 0.0000
0.0000 0.0000 0.5000
0.3288 0.3288 0.0000
0.3288 0.3288 0.5000
0.6712 0.6712 0.0000
0.6712 0.6712 0.5000
```


[6]
# Al4Ag

A relaxed Al4Ag crystal (GGA-PBEsol, the Alexandria database).

Properties
As for the polymorph energy (0 for the lowest one): 0.00 eV/f.u. The calculation puts the formation energy at -0.033 eV/atom.

Geometry as POSCAR:
```
Al4Ag
1.0
1.4416 0.8323 11.2650
-1.4416 0.8323 11.2650
0.0000 -1.6646 11.2650
Al Ag
4 1
Direct
0.1005 0.1005 0.1005
0.2999 0.2999 0.2999
0.7001 0.7001 0.7001
0.8995 0.8995 0.8995
0.5000 0.5000 0.5000
```


[7]
# RbAlH8N4

A relaxed RbAlH8N4 crystal (GGA-PBEsol, the Alexandria database).

Properties
The value obtained for the total energy is -5.25 eV/atom.

Geometry as POSCAR:
```
RbAlH8N4
1.0
7.2029 0.0000 0.0000
0.0000 7.2029 0.0000
0.0000 0.0000 4.9264
Rb Al H N
2 2 16 8
Direct
0.2500 0.2500 0.1835
0.7500 0.7500 0.8165
0.2500 0.7500 0.5000
0.7500 0.2500 0.5000
0.0442 0.0860 0.6953
0.0860 0.4558 0.6953
0.1167 0.6195 0.9278
0.1195 0.8833 0.0722
0.3805 0.6167 0.0722
0.3833 0.8805 0.9278
0.4140 0.0442 0.6953
0.4558 0.4140 0.6953
0.5442 0.5860 0.3047
0.5860 0.9558 0.3047
0.6167 0.1195 0.0722
0.6195 0.3833 0.9278
0.8805 0.1167 0.9278
0.8833 0.3805 0.0722
0.9140 0.5442 0.3047
0.9558 0.9140 0.3047
0.0714 0.8365 0.2569
0.1635 0.5714 0.7431
0.3365 0.9286 0.7431
0.4286 0.6635 0.2569
0.5714 0.3365 0.7431
0.6635 0.0714 0.2569
0.8365 0.4286 0.2569
0.9286 0.1635 0.7431
```


[8]
# PrOF

A relaxed PrOF crystal (GGA-PBEsol, the Alexandria database).

Properties
Its uncorrected formation energy is -3785 meV per atom.

Geometry as POSCAR:
```
PrOF
1.0
1.9858 1.1465 6.5931
-1.9858 1.1465 6.5931
0.0000 -2.2930 6.5931
Pr O F
2 2 2
Direct
0.2420 0.2420 0.2420
0.7580 0.7580 0.7580
0.1219 0.1219 0.1219
0.8781 0.8781 0.8781
0.3701 0.3701 0.3701
0.6299 0.6299 0.6299
```


[9]
# Ca2Ti6N2O11

A relaxed Ca2Ti6N2O11 crystal (GGA-PBEsol, the Alexandria database).

Properties
Its uncorrected formation energy is -2806 meV per atom. As for the polymorph energy (0 for the lowest one): 0.00 eV/f.u.

Geometry as POSCAR:
```
Ca2Ti6N2O11
1.0
7.3647 -1.8808 0.0000
7.3647 1.8808 0.0000
-1.7285 0.0000 9.1658
Ca Ti N O
2 6 2 11
Direct
0.0000 0.0000 0.0000
0.0781 0.0781 0.5569
0.3094 0.3094 0.0684
0.3632 0.3632 0.3982
0.4062 0.4062 0.7241
0.6562 0.6562 0.9027
0.6903 0.6903 0.2536
0.7560 0.7560 0.5707
0.2936 0.2936 0.5748
0.6478 0.6478 0.4276
0.1737 0.1737 0.9372
0.2320 0.2320 0.2454
0.3796 0.3796 0.9282
0.4080 0.4080 0.2220
0.4694 0.4694 0.5406
0.5331 0.5331 0.8285
0.5927 0.5927 0.1016
0.6855 0.6855 0.7195
0.7756 0.7756 0.0642
0.8304 0.8304 0.3945
0.8977 0.8977 0.7313
```


[10]
# Ba2SnPd2

A relaxed Ba2SnPd2 crystal (GGA-PBEsol, the Alexandria database).

Properties
The calculation puts the formation energy at -0.401 eV/atom.

Geometry as POSCAR:
```
Ba2SnPd2
1.0
-3.0788 3.0788 3.9668
3.0788 -3.0788 3.9668
3.0788 3.0788 -3.9668
Ba Sn Pd
2 1 2
Direct
0.2500 0.7500 0.5000
0.7500 0.2500 0.5000
0.0000 0.0000 0.0000
0.3338 0.3338 0.0000
0.6662 0.6662 0.0000
```


[11]
# LiFeAs2

A relaxed LiFeAs2 crystal (GGA-PBEsol, the Alexandria database).

Properties
As for the polymorph energy (0 for the lowest one): 0.08 eV/f.u. The calculation puts the formation energy at -0.034 eV/atom.

Geometry as POSCAR:
```
LiFeAs2
1.0
4.1014 0.0000 0.0000
0.0000 4.1014 0.0000
0.0000 0.0000 3.3407
Li Fe As
1 1 2
Direct
0.0000 0.0000 0.0000
0.5000 0.5000 0.0000
0.0000 0.5000 0.5000
0.5000 0.0000 0.5000
```


[12]
# Na2AlIrN

A relaxed Na2AlIrN crystal (GGA-PBEsol, the Alexandria database).

Properties
Its uncorrected formation energy is 1348 meV per atom.

Geometry as POSCAR:
```
Na2AlIrN
1.0
5.4407 0.0000 0.0000
0.0000 5.4407 0.0000
0.0000 0.0000 4.6230
Na Al Ir N
2 1 1 1
Direct
0.0000 0.5000 0.0000
0.5000 0.0000 0.0000
0.0000 0.0000 0.5000
0.0000 0.0000 0.0000
0.5000 0.5000 0.5000
```


[13]
# Na2AgAu2

A relaxed Na2AgAu2 crystal (GGA-PBEsol, the Alexandria database).

Properties
The calculation puts the formation energy at -0.093 eV/atom.

Geometry as POSCAR:
```
Na2AgAu2
1.0
7.0008 0.0000 0.0000
0.0000 7.0008 0.0000
0.0000 0.0000 4.3357
Na Ag Au
4 2 4
Direct
0.1686 0.3314 0.0000
0.3314 0.8314 0.0000
0.6686 0.1686 0.0000
0.8314 0.6686 0.0000
0.0000 0.0000 0.5000
0.5000 0.5000 0.5000
0.1366 0.6366 0.5000
0.3634 0.1366 0.5000
0.6366 0.8634 0.5000
0.8634 0.3634 0.5000
```


[14]
# MnTeCl2

A relaxed MnTeCl2 crystal (GGA-PBEsol, the Alexandria database).

Properties
Its uncorrected formation energy is -143 meV per atom. As for the polymorph energy (0 for the lowest one): 0.00 eV/f.u.

Geometry as POSCAR:
```
MnTeCl2
1.0
3.2524 0.0000 0.0000
0.0000 3.2524 0.0000
0.0000 0.0000 7.9308
Mn Te Cl
1 1 2
Direct
0.0000 0.0000 0.0000
0.5000 0.5000 0.2439
0.0000 0.0000 0.4904
0.5000 0.5000 0.8331
```


[15]
# SrZnSi2

A relaxed SrZnSi2 crystal (GGA-PBEsol, the Alexandria database).

Properties
Its uncorrected formation energy is 74 meV per atom.

Geometry as POSCAR:
```
SrZnSi2
1.0
4.2582 0.0000 0.0000
0.0000 4.2582 0.0000
0.0000 0.0000 4.3131
Sr Zn Si
1 1 2
Direct
0.0000 0.0000 0.0000
0.5000 0.5000 0.0000
0.0000 0.5000 0.5000
0.5000 0.0000 0.5000
```


[16]
# LiRhIO2

A relaxed LiRhIO2 crystal (GGA-PBEsol, the Alexandria database).

Properties
Its uncorrected formation energy is -581 meV per atom.

Geometry as POSCAR:
```
LiRhIO2
1.0
3.7778 0.0000 0.0000
0.0000 3.7778 0.0000
0.0000 0.0000 6.0519
Li Rh I O
1 1 1 2
Direct
0.0000 0.0000 0.0000
0.5000 0.5000 0.5000
0.5000 0.5000 0.0000
0.0000 0.5000 0.5000
0.5000 0.0000 0.5000
```


[17]
# HoFeNi4

A relaxed HoFeNi4 crystal (GGA-PBEsol, the Alexandria database).

Properties
The calculation puts the formation energy at -0.248 eV/atom.

Geometry as POSCAR:
```
HoFeNi4
1.0
4.8360 0.0000 0.0000
-2.4180 4.1881 0.0000
0.0000 0.0000 3.8820
Ho Fe Ni
1 1 4
Direct
0.0000 0.0000 0.0000
0.6667 0.3333 0.0000
0.0006 0.5003 0.5000
0.3333 0.6667 0.0000
0.4997 0.5003 0.5000
0.4997 0.9994 0.5000
```


[18]
# MgSc2Ag

A relaxed MgSc2Ag crystal (GGA-PBEsol, the Alexandria database).

Properties
The calculation puts the formation energy at -0.075 eV/atom.

Geometry as POSCAR:
```
MgSc2Ag
1.0
3.1625 0.0000 0.0000
0.0000 4.6920 0.0000
-1.5992 0.0000 5.6646
Mg Sc Ag
1 2 1
Direct
0.0000 0.0000 0.0000
0.2643 0.0000 0.5317
0.6024 0.5000 0.2049
0.8616 0.5000 0.7256
```


[19]
# MgCrN2O

A relaxed MgCrN2O crystal (GGA-PBEsol, the Alexandria database).

Properties
Its uncorrected formation energy is 878 meV per atom.

Geometry as POSCAR:
```
MgCrN2O
1.0
3.9232 0.0000 0.0000
0.0000 3.9232 0.0000
0.0000 0.0000 3.6908
Mg Cr N O
1 1 2 1
Direct
0.0000 0.0000 0.0000
0.5000 0.5000 0.5000
0.0000 0.5000 0.0000
0.5000 0.0000 0.0000
0.0000 0.0000 0.5000
```


[20]
# Sn3PtAu

A relaxed Sn3PtAu crystal (GGA-PBEsol, the Alexandria database).

Properties
The calculation puts the formation energy at 0.710 eV/atom.

Geometry as POSCAR:
```
Sn3PtAu
1.0
5.1490 0.0000 0.0000
0.0000 5.1490 0.0000
0.0000 0.0000 5.1490
Sn Pt Au
3 1 1
Direct
0.0000 0.0000 0.5000
0.0000 0.5000 0.0000
0.5000 0.0000 0.0000
0.5000 0.5000 0.5000
0.0000 0.0000 0.0000
```


[21]
# Gd12Co6Pb

A relaxed Gd12Co6Pb crystal (GGA-PBEsol, the Alexandria database).

Properties
The calculation puts the formation energy at -0.246 eV/atom.

Geometry as POSCAR:
```
Gd12Co6Pb
1.0
-4.7935 4.7935 4.7935
4.7935 -4.7935 4.7935
4.7935 4.7935 -4.7935
Gd Co Pb
12 6 1
Direct
0.1099 0.3046 0.8053
0.1947 0.4992 0.3046
0.1947 0.8901 0.6954
0.3046 0.1947 0.4992
0.3046 0.8053 0.1099
0.4992 0.3046 0.1947
0.5008 0.6954 0.8053
0.6954 0.1947 0.8901
0.6954 0.8053 0.5008
0.8053 0.1099 0.3046
0.8053 0.5008 0.6954
0.8901 0.6954 0.1947
0.1139 0.5000 0.6139
0.3861 0.8861 0.5000
0.5000 0.3861 0.8861
0.5000 0.6139 0.1139
0.6139 0.1139 0.5000
0.8861 0.5000 0.3861
0.0000 0.0000 0.0000
```


[22]
# BeAgO3

A relaxed BeAgO3 crystal (GGA-PBEsol, the Alexandria database).

Properties
Its uncorrected formation energy is 571 meV per atom.

Geometry as POSCAR:
```
BeAgO3
1.0
3.8767 0.0000 0.0000
0.0000 3.8767 0.0000
0.0000 0.0000 3.8767
Be Ag O
1 1 3
Direct
0.0000 0.0000 0.0000
0.5000 0.5000 0.5000
0.0000 0.5000 0.5000
0.5000 0.0000 0.5000
0.5000 0.5000 0.0000
```


[23]
# CsAs3F

A relaxed CsAs3F crystal (GGA-PBEsol, the Alexandria database).

Properties
Its uncorrected formation energy is 210 meV per atom.

Geometry as POSCAR:
```
CsAs3F
1.0
4.8338 0.0000 0.0000
0.0000 4.8338 0.0000
0.0000 0.0000 4.8338
Cs As F
1 3 1
Direct
0.0000 0.0000 0.0000
0.0000 0.5000 0.5000
0.5000 0.0000 0.5000
0.5000 0.5000 0.0000
0.5000 0.5000 0.5000
```


[24]
# CoTcO2

A relaxed CoTcO2 crystal (GGA-PBEsol, the Alexandria database).

Properties
Its uncorrected formation energy is -797 meV per atom.

Geometry as POSCAR:
```
CoTcO2
1.0
1.3660 0.7887 6.0474
-1.3660 0.7887 6.0474
0.0000 -1.5774 6.0474
Co Tc O
1 1 2
Direct
0.0000 0.0000 0.0000
0.5000 0.5000 0.5000
0.3904 0.3904 0.3904
0.6096 0.6096 0.6096
```


[25]
# Ta2PtAu

A relaxed Ta2PtAu crystal (GGA-PBEsol, the Alexandria database).

Properties
The calculation puts the formation energy at -0.347 eV/atom.

Geometry as POSCAR:
```
Ta2PtAu
1.0
2.8107 0.0000 0.0000
0.0000 4.6190 0.0000
0.0000 0.0000 5.0278
Ta Pt Au
2 1 1
Direct
0.0000 0.0000 0.0000
0.0000 0.5000 0.3477
0.5000 0.0000 0.5036
0.5000 0.5000 0.8421
```